1.
Compound: KFeCu2
Source: the Alexandria database
Functional: PBE
Structure: optimized geometry

Results
For the total magnetization, the calculation gives 3.1 μB per formula unit. The value obtained for the formation enthalpy at 0 K is 1.000 eV/atom. Its crystal system is cubic. For the density of states at the Fermi level, the calculation gives 0.637 states/eV per atom. The density comes out at 4.998 g/cm³. The energy is -3.4381 eV/atom.

The structure in CIF format:
```
data_KFeCu2
_chemical_formula_sum 'K4 Fe4 Cu8'
_symmetry_space_group_name_H-M 'F m -3 m'
_symmetry_Int_Tables_number 225
_symmetry_space_group_name_Hall '-F 4 2 3'
_cell_length_a 6.657
_cell_length_b 6.657
_cell_length_c 6.657
_cell_angle_alpha 90.00
_cell_angle_beta 90.00
_cell_angle_gamma 90.00
loop_
_atom_site_label
_atom_site_type_symbol
_atom_site_fract_x
_atom_site_fract_y
_atom_site_fract_z
K1 K 0.000 0.000 0.000
Fe1 Fe 0.000 0.000 0.500
Cu1 Cu 0.250 0.250 0.250
```

***

2.
Compound: Ac4SmHg3
Source: the Alexandria database
Functional: PBE
Structure: optimized geometry

Results
For the total magnetization, the calculation gives 0.0 μB per formula unit. The value obtained for the formation enthalpy at 0 K is -0.302 eV/atom. Its crystal system is orthorhombic. For the density of states at the Fermi level, the calculation gives 1.280 states/eV per atom. The density comes out at 10.015 g/cm³. The energy is -3.0592 eV/atom.

The structure in CIF format:
```
data_Ac4SmHg3
_chemical_formula_sum 'Ac4 Sm1 Hg3'
_symmetry_space_group_name_H-M 'P m m m'
_symmetry_Int_Tables_number 47
_cell_length_a 3.970
_cell_length_b 5.848
_cell_length_c 11.857
_cell_angle_alpha 90.00
_cell_angle_beta 90.00
_cell_angle_gamma 90.00
loop_
_symmetry_equiv_pos_as_xyz
'x,y,z'
'-x,-y,-z'
'-x,-y,z'
'x,y,-z'
'x,-y,-z'
'-x,y,z'
'-x,y,-z'
'x,-y,z'
loop_
_atom_site_label
_atom_site_type_symbol
_atom_site_fract_x
_atom_site_fract_y
_atom_site_fract_z
Ac1 Ac 0.000 0.000 0.000
Ac2 Ac 0.000 0.000 0.500
Ac3 Ac 0.000 0.500 0.237
Sm1 Sm 0.500 0.500 0.500
Hg1 Hg 0.500 0.000 0.259
Hg2 Hg 0.500 0.500 0.000
```

***

3.
Compound: Y2V2Hg
Source: the Alexandria database
Functional: PBE
Structure: optimized geometry

Results
For the total magnetization, the calculation gives 0.0 μB per formula unit. The value obtained for the formation enthalpy at 0 K is 0.187 eV/atom. Its crystal system is tetragonal. For the density of states at the Fermi level, the calculation gives 1.315 states/eV per atom. The density comes out at 7.031 g/cm³. The energy is -6.1061 eV/atom.

The structure in CIF format:
```
data_Y2V2Hg
_chemical_formula_sum 'Y4 V4 Hg2'
_symmetry_space_group_name_H-M 'P 4/m b m'
_symmetry_Int_Tables_number 127
_symmetry_space_group_name_Hall '-P 4 2ab'
_cell_length_a 7.727
_cell_length_b 7.727
_cell_length_c 3.800
_cell_angle_alpha 90.00
_cell_angle_beta 90.00
_cell_angle_gamma 90.00
loop_
_atom_site_label
_atom_site_type_symbol
_atom_site_fract_x
_atom_site_fract_y
_atom_site_fract_z
Y1 Y 0.200 0.300 0.000
V1 V 0.088 0.588 0.500
Hg1 Hg 0.000 0.000 0.500
```

***

4.
Compound: Tm8CuOs2
Source: the Alexandria database
Functional: PBE
Structure: optimized geometry

Results
For the total magnetization, the calculation gives 0.0 μB per formula unit. The value obtained for the formation enthalpy at 0 K is -0.166 eV/atom. Its crystal system is monoclinic. For the density of states at the Fermi level, the calculation gives 0.783 states/eV per atom. The density comes out at 10.468 g/cm³. The energy is -5.8323 eV/atom.

The structure in CIF format:
```
data_Tm8CuOs2
_chemical_formula_sum 'Tm16 Cu2 Os4'
_symmetry_space_group_name_H-M 'C 1 m 1'
_symmetry_Int_Tables_number 8
_cell_length_a 8.529
_cell_length_b 12.405
_cell_length_c 5.614
_cell_angle_alpha 90.00
_cell_angle_beta 106.45
_cell_angle_gamma 90.00
loop_
_symmetry_equiv_pos_as_xyz
'x,y,z'
'x,-y,z'
'x+1/2,y+1/2,z'
'x+1/2,-y+1/2,z'
loop_
_atom_site_label
_atom_site_type_symbol
_atom_site_fract_x
_atom_site_fract_y
_atom_site_fract_z
Tm1 Tm 0.000 0.000 0.000
Tm2 Tm 0.071 0.368 0.793
Tm3 Tm 0.166 0.132 0.602
Tm4 Tm 0.243 0.500 0.389
Tm5 Tm 0.371 0.229 0.194
Cu1 Cu 0.372 0.000 0.068
Os1 Os 0.368 0.313 0.696
```

***

5.
Compound: AlAuO2
Source: the Alexandria database
Functional: PBE
Structure: optimized geometry

Results
The uncorrected formation energy comes out at -1.5869 eV per atom. For the total magnetization, the calculation gives 0.0 μB per formula unit. Its crystal system is tetragonal. For the density of states at the Fermi level, the calculation gives 0.288 states/eV per atom. The density comes out at 7.980 g/cm³. The energy is -5.8210 eV/atom.

The structure in CIF format:
```
data_AlAuO2
_chemical_formula_sum 'Al4 Au4 O8'
_symmetry_space_group_name_H-M 'I -4 2 d'
_symmetry_Int_Tables_number 122
_symmetry_space_group_name_Hall 'I -4 2bw'
_cell_length_a 5.023
_cell_length_b 5.023
_cell_length_c 8.445
_cell_angle_alpha 90.00
_cell_angle_beta 90.00
_cell_angle_gamma 90.00
loop_
_atom_site_label
_atom_site_type_symbol
_atom_site_fract_x
_atom_site_fract_y
_atom_site_fract_z
Al1 Al 0.000 0.000 0.000
Au1 Au 0.000 0.000 0.500
O1 O 0.136 0.250 0.125
```

***

6.
Compound: TbCuAu3
Source: the Alexandria database
Functional: PBE
Structure: optimized geometry

Results
For the total magnetization, the calculation gives 0.0 μB per formula unit. The value obtained for the formation enthalpy at 0 K is -0.477 eV/atom. Its crystal system is monoclinic. For the density of states at the Fermi level, the calculation gives 0.324 states/eV per atom. The density comes out at 14.211 g/cm³. The energy is -4.1885 eV/atom.

The structure in CIF format:
```
data_TbCuAu3
_chemical_formula_sum 'Tb2 Cu2 Au6'
_symmetry_space_group_name_H-M 'P 1 21/m 1'
_symmetry_Int_Tables_number 11
_cell_length_a 5.190
_cell_length_b 4.973
_cell_length_c 7.733
_cell_angle_alpha 90.00
_cell_angle_beta 107.77
_cell_angle_gamma 90.00
loop_
_symmetry_equiv_pos_as_xyz
'x,y,z'
'-x,-y,-z'
'-x,y+1/2,-z'
'x,-y+1/2,z'
loop_
_atom_site_label
_atom_site_type_symbol
_atom_site_fract_x
_atom_site_fract_y
_atom_site_fract_z
Tb1 Tb 0.064 0.250 0.308
Cu1 Cu 0.317 0.250 0.729
Au1 Au 0.118 0.750 0.108
Au2 Au 0.338 0.750 0.501
Au3 Au 0.472 0.250 0.097
```

***

7.
Compound: CuSi2Ru2
Source: the Alexandria database
Functional: PBE
Structure: optimized geometry

Results
The uncorrected formation energy comes out at -0.4044 eV per atom. For the total magnetization, the calculation gives 0.0 μB per formula unit. Its crystal system is tetragonal. For the density of states at the Fermi level, the calculation gives 0.420 states/eV per atom. The density comes out at 8.038 g/cm³. The energy is -7.1032 eV/atom.

The structure in CIF format:
```
data_CuSi2Ru2
_chemical_formula_sum 'Cu2 Si4 Ru4'
_symmetry_space_group_name_H-M 'P 4/m b m'
_symmetry_Int_Tables_number 127
_symmetry_space_group_name_Hall '-P 4 2ab'
_cell_length_a 6.823
_cell_length_b 6.823
_cell_length_c 2.856
_cell_angle_alpha 90.00
_cell_angle_beta 90.00
_cell_angle_gamma 90.00
loop_
_atom_site_label
_atom_site_type_symbol
_atom_site_fract_x
_atom_site_fract_y
_atom_site_fract_z
Cu1 Cu 0.000 0.000 0.000
Si1 Si 0.144 0.356 0.000
Ru1 Ru 0.152 0.652 0.500
```

***

8.
Compound: In2NiOs
Source: the Alexandria database
Functional: PBE
Structure: optimized geometry

Results
For the total magnetization, the calculation gives 0.0 μB per formula unit. The value obtained for the formation enthalpy at 0 K is 0.306 eV/atom. Its crystal system is orthorhombic. For the density of states at the Fermi level, the calculation gives 0.661 states/eV per atom. The density comes out at 11.679 g/cm³. The energy is -5.3157 eV/atom.

The structure in CIF format:
```
data_In2NiOs
_chemical_formula_sum 'In4 Ni2 Os2'
_symmetry_space_group_name_H-M 'I m m 2'
_symmetry_Int_Tables_number 44
_cell_length_a 3.087
_cell_length_b 4.465
_cell_length_c 9.874
_cell_angle_alpha 90.00
_cell_angle_beta 90.00
_cell_angle_gamma 90.00
loop_
_symmetry_equiv_pos_as_xyz
'x,y,z'
'-x,-y,z'
'-x,y,z'
'x,-y,z'
'x+1/2,y+1/2,z+1/2'
'-x+1/2,-y+1/2,z+1/2'
'-x+1/2,y+1/2,z+1/2'
'x+1/2,-y+1/2,z+1/2'
loop_
_atom_site_label
_atom_site_type_symbol
_atom_site_fract_x
_atom_site_fract_y
_atom_site_fract_z
In1 In 0.000 0.000 0.000
In2 In 0.000 0.500 0.215
Ni1 Ni 0.000 0.000 0.473
Os1 Os 0.000 0.500 0.769
```

***

9.
Compound: Mn2InRe2
Source: the Alexandria database
Functional: PBE
Structure: optimized geometry

Results
For the total magnetization, the calculation gives 0.0 μB per formula unit. The value obtained for the formation enthalpy at 0 K is 0.304 eV/atom. Its crystal system is tetragonal. For the density of states at the Fermi level, the calculation gives 0.732 states/eV per atom. The density comes out at 13.457 g/cm³. The energy is -8.8907 eV/atom.

The structure in CIF format:
```
data_Mn2InRe2
_chemical_formula_sum 'Mn4 In2 Re4'
_symmetry_space_group_name_H-M 'P 4/m b m'
_symmetry_Int_Tables_number 127
_symmetry_space_group_name_Hall '-P 4 2ab'
_cell_length_a 7.292
_cell_length_b 7.292
_cell_length_c 2.772
_cell_angle_alpha 90.00
_cell_angle_beta 90.00
_cell_angle_gamma 90.00
loop_
_atom_site_label
_atom_site_type_symbol
_atom_site_fract_x
_atom_site_fract_y
_atom_site_fract_z
Mn1 Mn 0.130 0.370 0.000
In1 In 0.000 0.000 0.000
Re1 Re 0.154 0.654 0.500
```

***

10.
Compound: CaTaIr
Source: the Alexandria database
Functional: PBE
Structure: optimized geometry

Results
For the total magnetization, the calculation gives 0.0 μB per formula unit. The value obtained for the formation enthalpy at 0 K is -0.435 eV/atom. Its crystal system is tetragonal. For the density of states at the Fermi level, the calculation gives 0.782 states/eV per atom. The density comes out at 9.617 g/cm³. The energy is -8.0063 eV/atom.

The structure in CIF format:
```
data_CaTaIr
_chemical_formula_sum 'Ca2 Ta2 Ir2'
_symmetry_space_group_name_H-M 'P 4/n m m'
_symmetry_Int_Tables_number 129
_cell_length_a 4.504
_cell_length_b 4.504
_cell_length_c 7.035
_cell_angle_alpha 90.00
_cell_angle_beta 90.00
_cell_angle_gamma 90.00
loop_
_symmetry_equiv_pos_as_xyz
'x,y,z'
'-x,-y,-z'
'-y+1/2,x,z'
'y+1/2,-x,-z'
'-x+1/2,-y+1/2,z'
'x+1/2,y+1/2,-z'
'y,-x+1/2,z'
'-y,x+1/2,-z'
'x+1/2,-y,-z'
'-x+1/2,y,z'
'-y,-x,-z'
'y,x,z'
'-x,y+1/2,-z'
'x,-y+1/2,z'
'y+1/2,x+1/2,-z'
'-y+1/2,-x+1/2,z'
loop_
_atom_site_label
_atom_site_type_symbol
_atom_site_fract_x
_atom_site_fract_y
_atom_site_fract_z
Ca1 Ca 0.250 0.250 0.138
Ta1 Ta 0.250 0.750 0.500
Ir1 Ir 0.250 0.250 0.678
```

***

11.
Compound: Cd2GeBi
Source: the Alexandria database
Functional: PBE
Structure: optimized geometry

Results
For the total magnetization, the calculation gives 0.0 μB per formula unit. The value obtained for the formation enthalpy at 0 K is 0.231 eV/atom. Its crystal system is cubic. For the density of states at the Fermi level, the calculation gives 0.529 states/eV per atom. The density comes out at 8.431 g/cm³. The energy is -2.3512 eV/atom.

The structure in CIF format:
```
data_Cd2GeBi
_chemical_formula_sum 'Cd8 Ge4 Bi4'
_symmetry_space_group_name_H-M 'F m -3 m'
_symmetry_Int_Tables_number 225
_symmetry_space_group_name_Hall '-F 4 2 3'
_cell_length_a 7.362
_cell_length_b 7.362
_cell_length_c 7.362
_cell_angle_alpha 90.00
_cell_angle_beta 90.00
_cell_angle_gamma 90.00
loop_
_atom_site_label
_atom_site_type_symbol
_atom_site_fract_x
_atom_site_fract_y
_atom_site_fract_z
Cd1 Cd 0.250 0.250 0.250
Ge1 Ge 0.000 0.000 0.000
Bi1 Bi 0.000 0.000 0.500
```

***

12.
Compound: Ho4ErPbS8
Source: the Alexandria database
Functional: PBE
Structure: optimized geometry

Results
The uncorrected formation energy comes out at -1.7660 eV per atom. For the total magnetization, the calculation gives 0.0 μB per formula unit. Its crystal system is trigonal. For the density of states at the Fermi level, the calculation gives 0.281 states/eV per atom. The density comes out at 5.688 g/cm³. The energy is -6.0233 eV/atom.

The structure in CIF format:
```
data_Ho4ErPbS8
_chemical_formula_sum 'Ho12 Er3 Pb3 S24'
_symmetry_space_group_name_H-M 'R 3 m'
_symmetry_Int_Tables_number 160
_symmetry_space_group_name_Hall 'R 3 -2"'
_cell_length_a 8.1125
_cell_length_b 8.1125
_cell_length_c 19.8341
_cell_angle_alpha 90.00
_cell_angle_beta 90.00
_cell_angle_gamma 120.00
loop_
_atom_site_label
_atom_site_type_symbol
_atom_site_fract_x
_atom_site_fract_y
_atom_site_fract_z
Ho1 Ho 0.0000 0.0000 0.0000
Ho2 Ho 0.1693 0.3385 0.2078
Er1 Er 0.0000 0.0000 0.3771
Pb1 Pb 0.0000 0.0000 0.7502
S1 S 0.0000 0.0000 0.1328
S2 S 0.0000 0.0000 0.6112
S3 S 0.0380 0.5190 0.1294
S4 S 0.1774 0.3547 0.9562
```